# 1
Density functional theory data (GGA-PBEsol) for a relaxed structure of RhWCl3.

## Properties
Total magnetization ... 0.91 μB/atom
ΔE_f (raw) ... 1.01 eV/atom
Space group ... Pm-3m (221)

Cell lengths 4.673, 4.673, 4.673 Å; angles 90.00, 90.00, 90.00 degrees
Sites, in units of the cell vectors:
Cl 0.500 0.000 0.000
Rh 0.000 0.000 0.000
Cl 0.000 0.500 0.000
W 0.500 0.500 0.500
Cl 0.000 0.000 0.500

---

# 2
Density functional theory data (GGA-PBEsol) for a relaxed structure of ZnCd2Te.

## Properties
Total magnetization ... 0.00 μB/atom
ΔE_f (raw) ... 0.17 eV/atom
E above lowest polymorph ... 0.045 eV per atom
Space group ... I4/mmm (139)

Cell lengths 4.940, 5.158, 4.940 Å; angles 118.62, 90.00, 118.62 degrees
Sites, in units of the cell vectors:
Cd 0.250 0.500 0.750
Cd 0.750 0.500 0.250
Zn 0.000 0.000 0.000
Te 0.500 0.000 0.500